Record 1
Material: TiNiSn
Method: DFT, GGA-PBE
State: optimized geometry

```
data_TiNiSn
_chemical_formula_sum 'Ti6 Ni6 Sn6'
_symmetry_space_group_name_H-M 'R 3 m'
_symmetry_Int_Tables_number 160
_symmetry_space_group_name_Hall 'R 3 -2"'
_cell_length_a 4.2971
_cell_length_b 4.2971
_cell_length_c 18.9542
_cell_angle_alpha 90.00
_cell_angle_beta 90.00
_cell_angle_gamma 120.00
loop_
_atom_site_label
_atom_site_type_symbol
_atom_site_fract_x
_atom_site_fract_y
_atom_site_fract_z
_atom_site_occupancy
Ti1 Ti 0.0000 0.0000 0.0000 1
Ti2 Ti 0.0000 0.0000 0.1653 1
Ni1 Ni 0.0000 0.0000 0.2951 1
Ni2 Ni 0.0000 0.0000 0.4388 1
Sn1 Sn 0.0000 0.0000 0.5781 1
Sn2 Sn 0.0000 0.0000 0.7504 1
```

Values from the calculation:
As for the magnetization: 0.003 Bohr magnetons per cell. Its total energy is -6.2713 eV/atom. The value obtained for the formation energy is -36.5 kJ per mole of atoms.


Record 2
Material: TiNiSn
Method: DFT, GGA-PBE
State: optimized geometry

```
data_TiNiSn
_chemical_formula_sum 'Ti4 Ni4 Sn4'
_symmetry_space_group_name_H-M 'F -4 3 m'
_symmetry_Int_Tables_number 216
_symmetry_space_group_name_Hall 'F -4 2 3'
_cell_length_a 6.159
_cell_length_b 6.159
_cell_length_c 6.159
_cell_angle_alpha 90.00
_cell_angle_beta 90.00
_cell_angle_gamma 90.00
loop_
_atom_site_label
_atom_site_type_symbol
_atom_site_fract_x
_atom_site_fract_y
_atom_site_fract_z
_atom_site_occupancy
Ti1 Ti 0.000 0.000 0.000 1
Ni1 Ni 0.250 0.250 0.250 1
Sn1 Sn 0.250 0.250 0.750 1
```

Values from the calculation:
As for the magnetization: 0.000 Bohr magnetons per cell. Its total energy is -5.7243 eV/atom. The value obtained for the formation energy is 16.3 kJ per mole of atoms.


Record 3
Material: TiNi6Sn
Method: DFT, GGA-PBE
State: optimized geometry

```
data_TiNi6Sn
_chemical_formula_sum 'Ti1 Ni6 Sn1'
_symmetry_space_group_name_H-M 'P -6 m 2'
_symmetry_Int_Tables_number 187
_symmetry_space_group_name_Hall 'P -6 2'
_cell_length_a 5.2094
_cell_length_b 5.2094
_cell_length_c 4.2152
_cell_angle_alpha 90.00
_cell_angle_beta 90.00
_cell_angle_gamma 120.00
loop_
_atom_site_label
_atom_site_type_symbol
_atom_site_fract_x
_atom_site_fract_y
_atom_site_fract_z
_atom_site_occupancy
Ti1 Ti 0.0000 0.0000 0.0000 1
Ni1 Ni 0.3400 0.1700 0.5000 1
Ni2 Ni 0.5079 0.0158 0.0000 1
Sn1 Sn 0.3333 0.6667 0.5000 1
```

Values from the calculation:
As for the magnetization: 0.000 Bohr magnetons per cell. Its total energy is -6.1050 eV/atom. The value obtained for the formation energy is -27.2 kJ per mole of atoms.